1.
Density functional theory data (GGA-PBE) for an optimized crystal structure of Er7InAg4.

M_tot, μB per atom: 0.000
Crystal system: monoclinic
Final energy, eV per atom: -3.92
SG: C2/m

a = 7.7287 Å, b = 7.7287 Å, c = 8.9192 Å
α = 116.95°, β = 116.95°, γ = 42.88°
Last column: nearest neighbours and their distance in Å.
Sites, in units of the cell vectors:
Er (0.0000, 0.0000, 0.0000)  2 In 2.83, 4 Ag 2.89-2.99
Er (0.2139, 0.2139, 0.6698)  4 Ag 2.85-3.11
Er (0.3231, 0.3231, 0.1200)  3 Ag 3.18-3.51, 1 In 3.21, 4 Er 3.27-3.55
Er (0.4231, 0.4231, 0.5982)  3 Ag 2.99-3.08, 1 In 3.19, 1 Er 3.27
Er (0.5769, 0.5769, 0.4018)  3 Ag 2.99-3.08, 1 In 3.19, 1 Er 3.27
Er (0.6769, 0.6769, 0.8800)  3 Ag 3.18-3.51, 1 In 3.21, 4 Er 3.27-3.55
Er (0.7861, 0.7861, 0.3302)  4 Ag 2.85-3.11
In (0.5000, 0.5000, 0.0000)  2 Er 2.83
Ag (0.0199, 0.0199, 0.6819)  4 Er 2.85-3.08, 2 Ag 3.01-3.05
Ag (0.1945, 0.1945, 0.3266)  6 Er 2.89-3.18, 1 Ag 3.05
Ag (0.8055, 0.8055, 0.6734)  6 Er 2.89-3.18, 1 Ag 3.05
Ag (0.9801, 0.9801, 0.3181)  4 Er 2.85-3.08, 2 Ag 3.01-3.05

=====

2.
Density functional theory data (GGA-PBE) for an optimized crystal structure of Er12In6Ag.

M_tot, μB per atom: 0.000
Crystal system: trigonal
Final energy, eV per atom: -3.89
SG: R-3

a = 8.7338 Å, b = 8.7338 Å, c = 8.7338 Å
α = 100.20°, β = 100.20°, γ = 100.20°
Last column: nearest neighbours and their distance in Å.
Sites, in units of the cell vectors:
Er (0.0463, 0.6807, 0.9410)  1 Ag 2.86, 2 In 3.05-3.08
Er (0.0590, 0.9537, 0.3193)  1 Ag 2.86, 2 In 3.05-3.08
Er (0.1811, 0.4296, 0.5674)  4 In 3.03-3.17
Er (0.3193, 0.0590, 0.9537)  1 Ag 2.86, 2 In 3.05-3.08
Er (0.4296, 0.5674, 0.1811)  4 In 3.03-3.17
Er (0.4326, 0.8189, 0.5704)  4 In 3.03-3.17
Er (0.5674, 0.1811, 0.4296)  4 In 3.03-3.17
Er (0.5704, 0.4326, 0.8189)  4 In 3.03-3.17
Er (0.6807, 0.9410, 0.0463)  1 Ag 2.86, 2 In 3.05-3.08
Er (0.8189, 0.5704, 0.4326)  4 In 3.03-3.17
Er (0.9410, 0.0463, 0.6807)  1 Ag 2.86, 2 In 3.05-3.08
Er (0.9537, 0.3193, 0.0590)  1 Ag 2.86, 2 In 3.05-3.08
In (0.1350, 0.6205, 0.3030)  7 Er 3.03-3.28
In (0.3030, 0.1350, 0.6205)  7 Er 3.03-3.28
In (0.3795, 0.6970, 0.8650)  7 Er 3.03-3.28
In (0.6205, 0.3030, 0.1350)  7 Er 3.03-3.28
In (0.6970, 0.8650, 0.3795)  7 Er 3.03-3.28
In (0.8650, 0.3795, 0.6970)  7 Er 3.03-3.28
Ag (0.0000, 0.0000, 0.0000)  6 Er 2.86

=====

3.
Density functional theory data (GGA-PBE) for an optimized crystal structure of ErIn2Ag8.

M_tot, μB per atom: 0.000
Crystal system: monoclinic
Final energy, eV per atom: -3.07
SG: C2/m

a = 8.0130 Å, b = 8.0130 Å, c = 6.8591 Å
α = 105.07°, β = 105.07°, γ = 30.62°
Last column: nearest neighbours and their distance in Å.
Sites, in units of the cell vectors:
Er (0.0000, 0.0000, 0.0000)  12 Ag 3.02-3.11
In (0.2734, 0.2734, 0.3487)  10 Ag 2.95-3.13, 2 In 3.18
In (0.7266, 0.7266, 0.6513)  10 Ag 2.95-3.13, 2 In 3.18
Ag (0.0904, 0.0904, 0.4639)  8 Ag 2.97-3.03, 3 In 3.02-3.13, 1 Er 3.11
Ag (0.1813, 0.1813, 0.9114)  3 In 2.95-2.97, 8 Ag 3.01-3.08, 1 Er 3.02
Ag (0.3631, 0.3631, 0.8072)  3 In 2.98-3.08, 7 Ag 3.01-3.15, 2 Er 3.03
Ag (0.4559, 0.4559, 0.2769)  9 Ag 2.97-3.15, 1 In 2.99, 2 Er 3.04
Ag (0.5441, 0.5441, 0.7231)  9 Ag 2.97-3.15, 1 In 2.99, 2 Er 3.04
Ag (0.6369, 0.6369, 0.1928)  3 In 2.98-3.08, 7 Ag 3.01-3.15, 2 Er 3.03
Ag (0.8187, 0.8187, 0.0886)  3 In 2.95-2.97, 8 Ag 3.01-3.08, 1 Er 3.02
Ag (0.9096, 0.9096, 0.5361)  8 Ag 2.97-3.03, 3 In 3.02-3.13, 1 Er 3.11

=====

4.
Density functional theory data (GGA-PBE) for an optimized crystal structure of Er2In3Ag.

Excess energy over the best structure of this formula in the dataset, meV/atom: 0
M_tot, μB per atom: 0.000
Crystal system: orthorhombic
SG: Pmm2

a = 3.4913 Å, b = 4.8973 Å, c = 8.4963 Å
α = 90.00°, β = 90.00°, γ = 90.00°
Last column: nearest neighbours and their distance in Å.
Sites, in units of the cell vectors:
Er (0.0000, 0.0000, 0.0000)  2 Ag 3.28, 10 In 3.32-3.43, 2 Er 3.49
Er (0.0000, 0.5000, 0.4958)  8 In 3.25-3.36, 4 Ag 3.33, 2 Er 3.49
In (0.5000, 0.0000, 0.6529)  1 Ag 2.77, 2 In 2.89
In (0.5000, 0.5000, 0.1737)  2 Ag 2.77, 1 In 2.89
In (0.5000, 0.5000, 0.8339)  3 In 2.89
Ag (0.5000, 0.0000, 0.3265)  3 In 2.77

=====

5.
Density functional theory data (GGA-PBE) for an optimized crystal structure of ErInAg2.

Excess energy over the best structure of this formula in the dataset, meV/atom: 136
M_tot, μB per atom: 0.000
Crystal system: tetragonal
SG: P4/mmm

a = 3.7228 Å, b = 3.7228 Å, c = 6.4555 Å
α = 90.00°, β = 90.00°, γ = 90.00°
Last column: nearest neighbours and their distance in Å.
Sites, in units of the cell vectors:
Er (0.0000, 0.0000, 0.0000)  8 Ag 3.06, 2 In 3.23
In (0.0000, 0.0000, 0.5000)  8 Ag 3.11, 2 Er 3.23
Ag (0.5000, 0.5000, 0.2431)  4 Er 3.06, 4 In 3.11, 2 Ag 3.14-3.32
Ag (0.5000, 0.5000, 0.7569)  4 Er 3.06, 4 In 3.11, 2 Ag 3.14-3.32

=====

6.
Density functional theory data (GGA-PBE) for an optimized crystal structure of Er2In2Ag3.

M_tot, μB per atom: 0.000
Crystal system: orthorhombic
Final energy, eV per atom: -3.48
SG: Cmmm

a = 10.7486 Å, b = 10.7486 Å, c = 3.3616 Å
α = 90.00°, β = 90.00°, γ = 155.70°
Last column: nearest neighbours and their distance in Å.
Sites, in units of the cell vectors:
Er (0.1429, 0.8571, 0.0000)  5 Ag 3.00-3.25, 4 In 3.14, 2 Er 3.36
Er (0.8571, 0.1429, 0.0000)  5 Ag 3.00-3.25, 4 In 3.14, 2 Er 3.36
In (0.2912, 0.7088, 0.5000)  2 In 2.85, 1 Ag 3.00, 4 Er 3.14
In (0.7088, 0.2912, 0.5000)  2 In 2.85, 1 Ag 3.00, 4 Er 3.14
Ag (0.0000, 0.0000, 0.0000)  2 Er 3.00, 10 Ag 3.14-3.36
Ag (0.4341, 0.5659, 0.5000)  1 Ag 2.77, 1 In 3.00
Ag (0.5659, 0.4341, 0.5000)  1 Ag 2.77, 1 In 3.00

=====

7.
Density functional theory data (GGA-PBE) for an optimized crystal structure of Er3In3Ag2.

Excess energy over the best structure of this formula in the dataset, meV/atom: 19
M_tot, μB per atom: 0.000
Crystal system: monoclinic
SG: C2/m

a = 9.2003 Å, b = 9.2003 Å, c = 4.7907 Å
α = 105.03°, β = 105.03°, γ = 28.89°
Last column: nearest neighbours and their distance in Å.
Sites, in units of the cell vectors:
Er (0.0000, 0.0000, 0.0000)  8 In 3.31-3.32, 4 Er 3.40
Er (0.1406, 0.1406, 0.6407)  4 Ag 3.00-3.01, 6 In 3.32-3.33
Er (0.8594, 0.8594, 0.3593)  4 Ag 3.00-3.01, 6 In 3.32-3.33
In (0.3613, 0.3613, 0.8611)  4 Ag 2.95-3.11
In (0.5000, 0.5000, 0.5000)  8 Er 3.32-3.33, 4 In 3.37-3.38
In (0.6387, 0.6387, 0.1389)  4 Ag 2.95-3.11
Ag (0.2463, 0.2463, 0.2463)  4 In 2.95-3.11, 4 Er 3.00-3.01
Ag (0.7537, 0.7537, 0.7537)  4 In 2.95-3.11, 4 Er 3.00-3.01

=====

8.
Density functional theory data (GGA-PBE) for an optimized crystal structure of ErIn2Ag.

M_tot, μB per atom: 0.000
Crystal system: orthorhombic
Final energy, eV per atom: -3.45
SG: Immm

a = 10.0270 Å, b = 10.0270 Å, c = 10.0270 Å
α = 152.62°, β = 119.80°, γ = 67.36°
Last column: nearest neighbours and their distance in Å.
Sites, in units of the cell vectors:
Er (0.1873, 0.0000, 0.1873)  6 In 3.32-3.54, 4 Ag 3.46
Er (0.2064, 0.2064, 0.0000)  7 In 3.16-3.49, 4 Ag 3.53
Er (0.7936, 0.7936, 0.0000)  7 In 3.16-3.49, 4 Ag 3.53
Er (0.8127, 0.0000, 0.8127)  6 In 3.32-3.54, 4 Ag 3.46
In (0.0817, 0.5817, 0.5000)  2 Ag 2.65, 1 In 2.73
In (0.1634, 0.8123, 0.3511)  3 Ag 2.71-2.91, 1 In 3.00
In (0.4154, 0.4154, 0.0000)  2 Ag 2.81, 1 In 2.82
In (0.4612, 0.8123, 0.6489)  3 Ag 2.71-2.91, 1 In 3.00
In (0.5388, 0.1877, 0.3511)  3 Ag 2.71-2.91, 1 In 3.00
In (0.5846, 0.5846, 0.0000)  2 Ag 2.81, 1 In 2.82
In (0.8366, 0.1877, 0.6489)  3 Ag 2.71-2.91, 1 In 3.00
In (0.9183, 0.4183, 0.5000)  2 Ag 2.65, 1 In 2.73
Ag (0.0935, 0.3530, 0.7405)  5 In 2.65-2.91
Ag (0.3876, 0.6470, 0.7405)  5 In 2.65-2.91
Ag (0.6124, 0.3530, 0.2595)  5 In 2.65-2.91
Ag (0.9065, 0.6470, 0.2595)  5 In 2.65-2.91

=====

9.
Density functional theory data (GGA-PBE) for an optimized crystal structure of Er3In3Ag2.

Excess energy over the best structure of this formula in the dataset, meV/atom: 0
M_tot, μB per atom: 0.000
Crystal system: hexagonal
SG: P-62m

a = 7.7643 Å, b = 7.7643 Å, c = 3.7360 Å
α = 90.00°, β = 90.00°, γ = 120.00°
Last column: nearest neighbours and their distance in Å.
Sites, in units of the cell vectors:
Er (0.0000, 0.4033, 0.0000)  4 Ag 3.01, 6 In 3.31-3.35
Er (0.4033, 0.0000, 0.0000)  4 Ag 3.01, 6 In 3.31-3.35
Er (0.5967, 0.5967, 0.0000)  4 Ag 3.01, 6 In 3.31-3.35
In (0.0000, 0.7607, 0.5000)  2 Ag 3.02, 2 In 3.22, 6 Er 3.31-3.35
In (0.2393, 0.2393, 0.5000)  2 Ag 3.02, 2 In 3.22, 6 Er 3.31-3.35
In (0.7607, 0.0000, 0.5000)  2 Ag 3.02, 2 In 3.22, 6 Er 3.31-3.35
Ag (0.3333, 0.6667, 0.5000)  6 Er 3.01, 3 In 3.02
Ag (0.6667, 0.3333, 0.5000)  6 Er 3.01, 3 In 3.02

=====

10.
Density functional theory data (GGA-PBE) for an optimized crystal structure of ErIn2Ag.

M_tot, μB per atom: 0.000
Crystal system: tetragonal
Final energy, eV per atom: -3.54
SG: P4/mmm

a = 4.6259 Å, b = 4.6259 Å, c = 4.3312 Å
α = 90.00°, β = 90.00°, γ = 90.00°
Last column: nearest neighbours and their distance in Å.
Sites, in units of the cell vectors:
Er (0.0000, 0.0000, 0.0000)  8 In 3.17, 4 Ag 3.27
In (0.0000, 0.5000, 0.5000)  4 Er 3.17, 4 Ag 3.17, 4 In 3.27
In (0.5000, 0.0000, 0.5000)  4 Er 3.17, 4 Ag 3.17, 4 In 3.27
Ag (0.5000, 0.5000, 0.0000)  8 In 3.17, 4 Er 3.27

=====

11.
Density functional theory data (GGA-PBE) for an optimized crystal structure of ErIn3Ag3.

M_tot, μB per atom: 0.000
Crystal system: cubic
Final energy, eV per atom: -2.59
SG: Pm-3n

a = 7.5113 Å, b = 7.5113 Å, c = 7.5113 Å
α = 90.00°, β = 90.00°, γ = 90.00°
Last column: nearest neighbours and their distance in Å.
Sites, in units of the cell vectors:
Er (0.0000, 0.0000, 0.0000)  12 In 4.20, 12 Ag 4.20
Er (0.5000, 0.5000, 0.5000)  12 In 4.20, 12 Ag 4.20
In (0.0000, 0.2500, 0.5000)  4 Ag 2.66
In (0.0000, 0.7500, 0.5000)  4 Ag 2.66
In (0.2500, 0.5000, 0.0000)  4 Ag 2.66
In (0.5000, 0.0000, 0.2500)  4 Ag 2.66
In (0.5000, 0.0000, 0.7500)  4 Ag 2.66
In (0.7500, 0.5000, 0.0000)  4 Ag 2.66
Ag (0.0000, 0.5000, 0.2500)  4 In 2.66
Ag (0.0000, 0.5000, 0.7500)  4 In 2.66
Ag (0.2500, 0.0000, 0.5000)  4 In 2.66
Ag (0.5000, 0.2500, 0.0000)  4 In 2.66
Ag (0.5000, 0.7500, 0.0000)  4 In 2.66
Ag (0.7500, 0.0000, 0.5000)  4 In 2.66

=====

12.
Density functional theory data (GGA-PBE) for an optimized crystal structure of Er4InAg2.

Excess energy over the best structure of this formula in the dataset, meV/atom: 0
M_tot, μB per atom: 0.000
Crystal system: trigonal
SG: R-3m

a = 8.6457 Å, b = 8.6457 Å, c = 8.6457 Å
α = 34.40°, β = 34.40°, γ = 34.40°
Last column: nearest neighbours and their distance in Å.
Sites, in units of the cell vectors:
Er (0.1148, 0.1148, 0.1148)  4 Ag 3.02-3.17, 3 In 3.21
Er (0.3691, 0.3691, 0.3691)  4 Ag 3.03-3.22, 1 In 3.19
Er (0.6309, 0.6309, 0.6309)  4 Ag 3.03-3.22, 1 In 3.19
Er (0.8852, 0.8852, 0.8852)  4 Ag 3.02-3.17, 3 In 3.21
In (0.5000, 0.5000, 0.5000)  8 Er 3.19-3.21, 6 Ag 3.51
Ag (0.2449, 0.2449, 0.2449)  8 Er 3.02-3.22
Ag (0.7551, 0.7551, 0.7551)  8 Er 3.02-3.22